(1)
Computed, not measured: an optimized crystal structure of Li2AlAg2 at the PBE-GGA level of DFT.

a = 7.2601 Å, b = 7.2601 Å, c = 7.2601 Å
α = 138.06°, β = 60.28°, γ = 138.76°
Closest atoms and distances in Å follow each position.
Element x y z (fractional)
1 Li 0.1052 0.1070 0.2123  3 Ag 2.63-2.93, 2 Al 2.75, 3 Li 2.79-2.87
2 Li 0.3948 0.6070 0.0018  3 Ag 2.63-2.93, 2 Al 2.75, 3 Li 2.79-2.87
3 Li 0.6052 0.3930 0.9982  3 Ag 2.63-2.93, 2 Al 2.75, 3 Li 2.79-2.87
4 Li 0.8948 0.8930 0.7877  3 Ag 2.63-2.93, 2 Al 2.75, 3 Li 2.79-2.87
5 Al 0.2500 0.7500 0.5000  2 Al 2.56, 4 Li 2.75, 4 Ag 2.75
6 Al 0.7500 0.2500 0.5000  2 Al 2.56, 4 Li 2.75, 4 Ag 2.75
7 Ag 0.1857 0.6358 0.8215  3 Li 2.63-2.93, 2 Al 2.75, 2 Ag 2.92
8 Ag 0.3143 0.1358 0.4502  3 Li 2.63-2.93, 2 Al 2.75, 2 Ag 2.92
9 Ag 0.6857 0.8642 0.5498  3 Li 2.63-2.93, 2 Al 2.75, 2 Ag 2.92
10 Ag 0.8143 0.3642 0.1785  3 Li 2.63-2.93, 2 Al 2.75, 2 Ag 2.92

* space group: No. 72
* formation energy from the elements: -0.119 eV per atom

(2)
Computed, not measured: an optimized crystal structure of Ti3AlSb at the PBE-GGA level of DFT.

a = 4.9600 Å, b = 4.9600 Å, c = 4.9600 Å
α = 90.00°, β = 90.00°, γ = 90.00°
Closest atoms and distances in Å follow each position.
Element x y z (fractional)
1 Ti 0.0000 0.0000 0.5000  2 Sb 2.48
2 Ti 0.0000 0.5000 0.0000  2 Sb 2.48
3 Ti 0.5000 0.0000 0.0000  2 Sb 2.48
4 Al 0.5000 0.5000 0.5000  12 Ti 3.51
5 Sb 0.0000 0.0000 0.0000  6 Ti 2.48

* formation energy (no corrections): 75 kJ/mol of atoms
* space group: No. 221

(3)
Computed, not measured: an optimized crystal structure of Ta2ReBrCl at the PBE-GGA level of DFT.

a = 4.7142 Å, b = 4.7142 Å, c = 5.2428 Å
α = 90.00°, β = 90.00°, γ = 90.00°
Closest atoms and distances in Å follow each position.
Element x y z (fractional)
1 Ta 0.0000 0.5000 0.0000  2 Br 2.36
2 Ta 0.5000 0.0000 0.0000  2 Br 2.36
3 Re 0.0000 0.0000 0.5000  4 Cl 3.33, 8 Ta 3.53
4 Br 0.5000 0.5000 0.0000  4 Ta 2.36, 2 Cl 2.62
5 Cl 0.5000 0.5000 0.5000  2 Br 2.62

* formation energy (no corrections): 219 kJ/mol of atoms
* space group: No. 123

(4)
Computed, not measured: an optimized crystal structure of NdYCo2 at the PBE-GGA level of DFT.

a = 4.8245 Å, b = 4.8245 Å, c = 4.8245 Å
α = 60.00°, β = 60.00°, γ = 60.00°
Closest atoms and distances in Å follow each position.
Element x y z (fractional)
1 Nd 0.0000 0.0000 0.0000  8 Co 2.95
2 Y 0.5000 0.5000 0.5000  8 Co 2.95
3 Co 0.2500 0.2500 0.2500  4 Nd 2.95, 4 Y 2.95
4 Co 0.7500 0.7500 0.7500  4 Y 2.95, 4 Nd 2.95

* space group: No. 225
* formation energy from the elements: -0.023 eV per atom

(5)
Computed, not measured: an optimized crystal structure of K4HoTe3O12 at the PBE-GGA level of DFT.

a = 7.1372 Å, b = 7.1372 Å, c = 7.1372 Å
α = 109.47°, β = 109.47°, γ = 109.47°
Closest atoms and distances in Å follow each position.
Element x y z (fractional)
1 K 0.0000 0.0000 0.5000  12 O 2.91-2.92
2 K 0.0000 0.5000 0.0000  12 O 2.91-2.92
3 K 0.5000 0.0000 0.0000  12 O 2.91-2.92
4 K 0.5000 0.5000 0.5000  12 O 2.91-2.92
5 Ho 0.0000 0.0000 0.0000  6 O 2.21
6 Te 0.0000 0.5000 0.5000  6 O 1.91-2.06
7 Te 0.5000 0.0000 0.5000  6 O 1.91-2.06
8 Te 0.5000 0.5000 0.0000  6 O 1.91-2.06
9 O 0.0000 0.2681 0.2681  1 Te 1.91
10 O 0.0000 0.7319 0.7319  1 Te 1.91
11 O 0.2500 0.5000 0.7500  2 Te 2.06
12 O 0.2500 0.7500 0.5000  2 Te 2.06
13 O 0.2681 0.0000 0.2681  1 Te 1.91
14 O 0.2681 0.2681 0.0000  1 Te 1.91
15 O 0.5000 0.2500 0.7500  2 Te 2.06
16 O 0.5000 0.7500 0.2500  2 Te 2.06
17 O 0.7319 0.0000 0.7319  1 Te 1.91
18 O 0.7319 0.7319 0.0000  1 Te 1.91
19 O 0.7500 0.2500 0.5000  2 Te 2.06
20 O 0.7500 0.5000 0.2500  2 Te 2.06

* formation energy (no corrections): -151 kJ/mol of atoms
* space group: No. 229

(6)
Computed, not measured: an optimized crystal structure of AgAuO2 at the PBE-GGA level of DFT.

a = 6.9538 Å, b = 6.9538 Å, c = 6.9538 Å
α = 142.23°, β = 142.23°, γ = 54.48°
Closest atoms and distances in Å follow each position.
Element x y z (fractional)
1 Ag 0.0000 0.0000 0.0000  4 O 2.32
2 Ag 0.7500 0.2500 0.5000  4 O 2.32
3 Au 0.2500 0.7500 0.5000  4 O 2.13
4 Au 0.5000 0.5000 0.0000  4 O 2.13
5 O 0.1651 0.6250 0.0401  2 Au 2.13, 2 Ag 2.32
6 O 0.3750 0.4151 0.5401  2 Au 2.13, 2 Ag 2.32
7 O 0.5849 0.1250 0.9599  2 Au 2.13, 2 Ag 2.32
8 O 0.8750 0.8349 0.4599  2 Au 2.13, 2 Ag 2.32

* formation energy (no corrections): 32 kJ/mol of atoms
* space group: No. 122

(7)
Computed, not measured: an optimized crystal structure of PuPa10Ga2 at the PBE-GGA level of DFT.

a = 10.5287 Å, b = 8.1024 Å, c = 7.8758 Å
α = 82.42°, β = 49.72°, γ = 47.86°
Closest atoms and distances in Å follow each position.
Element x y z (fractional)
1 Pu 0.0000 0.0000 0.0000  16 Pa 3.62-3.94
2 Pa 0.0000 0.0000 0.5000  10 Pa 2.90-3.21
3 Pa 0.0042 0.6414 0.3586  5 Pa 2.98-3.32, 2 Ga 3.22
4 Pa 0.2951 0.4968 0.5032  4 Pa 2.95-3.15, 2 Ga 3.03
5 Pa 0.3586 0.9958 0.0042  5 Pa 2.98-3.32, 2 Ga 3.22
6 Pa 0.4968 0.2951 0.7049  4 Pa 2.95-3.15, 2 Ga 3.03
7 Pa 0.5000 0.5000 0.0000  10 Pa 2.90-3.21
8 Pa 0.5032 0.7049 0.2951  4 Pa 2.95-3.15, 2 Ga 3.03
9 Pa 0.6414 0.0042 0.9958  5 Pa 2.98-3.32, 2 Ga 3.22
10 Pa 0.7049 0.5032 0.4968  4 Pa 2.95-3.15, 2 Ga 3.03
11 Pa 0.9958 0.3586 0.6414  5 Pa 2.98-3.32, 2 Ga 3.22
12 Ga 0.0000 0.5000 0.0000  2 Ga 2.90, 8 Pa 3.03-3.22
13 Ga 0.5000 0.0000 0.5000  2 Ga 2.90, 8 Pa 3.03-3.22

* space group: No. 69
* formation energy from the elements: 0.080 eV per atom

(8)
Computed, not measured: an optimized crystal structure of LaSm3Ho6Er2 at the PBE-GGA level of DFT.

a = 6.1790 Å, b = 6.1790 Å, c = 11.8071 Å
α = 94.99°, β = 94.99°, γ = 119.98°
Closest atoms and distances in Å follow each position.
Element x y z (fractional)
1 La 0.0000 0.0000 0.0000  6 Ho 3.56-3.57, 6 Er 3.57
2 Sm 0.1670 0.8330 0.5000  6 Ho 3.56-3.57, 6 Sm 3.56-3.58
3 Sm 0.5000 0.5000 0.5000  6 Ho 3.56-3.57, 6 Sm 3.56-3.57
4 Sm 0.8330 0.1670 0.5000  6 Ho 3.56-3.57, 6 Sm 3.56-3.58
5 Ho 0.0839 0.4186 0.2498  2 Er 3.55-3.56, 3 Sm 3.56-3.57, 6 Ho 3.56-3.58, 1 La 3.57
6 Ho 0.2510 0.2510 0.7502  6 Ho 3.56-3.58, 3 Sm 3.56-3.57, 2 Er 3.56, 1 La 3.56
7 Ho 0.4186 0.0839 0.2498  2 Er 3.55-3.56, 3 Sm 3.56-3.57, 6 Ho 3.56-3.58, 1 La 3.57
8 Ho 0.5814 0.9161 0.7502  2 Er 3.55-3.56, 3 Sm 3.56-3.57, 6 Ho 3.56-3.58, 1 La 3.57
9 Ho 0.7490 0.7490 0.2498  6 Ho 3.56-3.58, 3 Sm 3.56-3.57, 2 Er 3.56, 1 La 3.56
10 Ho 0.9161 0.5814 0.7502  2 Er 3.55-3.56, 3 Sm 3.56-3.57, 6 Ho 3.56-3.58, 1 La 3.57
11 Er 0.3333 0.6667 0.0000  6 Ho 3.55-3.56, 3 La 3.57, 3 Er 3.57
12 Er 0.6667 0.3333 0.0000  6 Ho 3.55-3.56, 3 La 3.57, 3 Er 3.57

* space group: No. 12
* formation energy from the elements: 0.020 eV per atom

(9)
Computed, not measured: an optimized crystal structure of TaFe2TcH at the PBE-GGA level of DFT.

a = 3.7366 Å, b = 3.7366 Å, c = 3.9899 Å
α = 90.00°, β = 90.00°, γ = 90.00°
Closest atoms and distances in Å follow each position.
Element x y z (fractional)
1 Ta 0.0000 0.0000 0.0000  2 H 1.99
2 Fe 0.0000 0.5000 0.5000  2 H 1.87
3 Fe 0.5000 0.0000 0.5000  2 H 1.87
4 Tc 0.5000 0.5000 0.0000  4 Ta 2.64, 8 Fe 2.73
5 H 0.0000 0.0000 0.5000  4 Fe 1.87, 2 Ta 1.99

* total energy: -8.507 eV/atom
* space group: No. 123

(10)
Computed, not measured: an optimized crystal structure of K2SrNpTe4 at the PBE-GGA level of DFT.

a = 8.1166 Å, b = 4.6711 Å, c = 8.6056 Å
α = 90.00°, β = 108.00°, γ = 90.00°
Closest atoms and distances in Å follow each position.
Element x y z (fractional)
1 K 0.0000 0.0000 0.0000  6 Te 3.67-3.71
2 K 0.5000 0.5000 0.0000  6 Te 3.49-3.50
3 Sr 0.0000 0.5000 0.5000  6 Te 3.31-3.32
4 Np 0.5000 0.0000 0.5000  6 Te 3.06-3.13
5 Te 0.2625 0.0000 0.7148  1 Np 3.06, 2 Sr 3.31
6 Te 0.2834 0.5000 0.2924  2 Np 3.13, 1 Sr 3.32, 1 K 3.49
7 Te 0.7166 0.5000 0.7076  2 Np 3.13, 1 Sr 3.32, 1 K 3.49
8 Te 0.7375 0.0000 0.2852  1 Np 3.06, 2 Sr 3.31

* formation energy (no corrections): -107 kJ/mol of atoms
* space group: No. 10

(11)
Computed, not measured: an optimized crystal structure of Fe2Sn2Pd at the PBE-GGA level of DFT.

a = 7.2260 Å, b = 7.2260 Å, c = 3.1530 Å
α = 90.00°, β = 90.00°, γ = 90.00°
Closest atoms and distances in Å follow each position.
Element x y z (fractional)
1 Fe 0.1143 0.3857 0.0000  1 Fe 2.34
2 Fe 0.3857 0.8857 0.0000  1 Fe 2.34
3 Fe 0.6143 0.1143 0.0000  1 Fe 2.34
4 Fe 0.8857 0.6143 0.0000  1 Fe 2.34
5 Sn 0.1811 0.6811 0.5000  6 Fe 2.62-2.70
6 Sn 0.3189 0.1811 0.5000  6 Fe 2.62-2.70
7 Sn 0.6811 0.8189 0.5000  6 Fe 2.62-2.70
8 Sn 0.8189 0.3189 0.5000  6 Fe 2.62-2.70
9 Pd 0.0000 0.0000 0.0000  4 Fe 2.91, 8 Sn 3.08, 2 Pd 3.15
10 Pd 0.5000 0.5000 0.0000  4 Fe 2.91, 8 Sn 3.08, 2 Pd 3.15

* space group: No. 127
* formation energy from the elements: 0.072 eV per atom

(12)
Computed, not measured: an optimized crystal structure of InFe2Pb at the PBE-GGA level of DFT.

a = 3.3608 Å, b = 4.5815 Å, c = 4.6013 Å
α = 89.48°, β = 89.91°, γ = 89.93°
Closest atoms and distances in Å follow each position.
Element x y z (fractional)
1 In 0.0000 0.0000 0.0000  8 Fe 2.84-2.85
2 Fe 0.5000 0.0000 0.5000  4 Pb 2.84, 4 In 2.85
3 Fe 0.5000 0.5000 0.0000  4 In 2.84, 4 Pb 2.85
4 Pb 0.0000 0.5000 0.5000  8 Fe 2.84-2.85

* space group: No. 2
* formation energy from the elements: 0.562 eV per atom

(13)
Computed, not measured: an optimized crystal structure of NbMoN2 at the PBE-GGA level of DFT.

a = 5.2264 Å, b = 5.2264 Å, c = 5.2264 Å
α = 35.36°, β = 35.36°, γ = 35.36°
Closest atoms and distances in Å follow each position.
Element x y z (fractional)
1 Nb 0.0000 0.0000 0.0000  6 N 2.21
2 Mo 0.5000 0.5000 0.5000  6 N 2.20
3 N 0.2496 0.2496 0.2496  3 Mo 2.20, 3 Nb 2.21
4 N 0.7504 0.7504 0.7504  3 Mo 2.20, 3 Nb 2.21

* formation energy (no corrections): -41 kJ/mol of atoms
* space group: No. 166

(14)
Computed, not measured: an optimized crystal structure of TcI2O at the PBE-GGA level of DFT.

a = 3.7588 Å, b = 4.1030 Å, c = 8.0518 Å
α = 75.29°, β = 89.28°, γ = 90.00°
Closest atoms and distances in Å follow each position.
Element x y z (fractional)
1 Tc 0.0000 0.0000 0.0000  2 O 1.88
2 I 0.0064 0.6183 0.7625  2 Tc 2.76
3 I 0.9936 0.3817 0.2375  2 Tc 2.76
4 O 0.5000 0.0000 0.0000  2 Tc 1.88

* formation energy (no corrections): -55 kJ/mol of atoms
* space group: No. 2

(15)
Computed, not measured: an optimized crystal structure of ZnCdAgRh at the PBE-GGA level of DFT.

a = 4.5340 Å, b = 4.5340 Å, c = 4.5340 Å
α = 60.00°, β = 60.00°, γ = 60.00°
Closest atoms and distances in Å follow each position.
Element x y z (fractional)
1 Zn 0.0000 0.0000 0.0000  4 Ag 2.78, 4 Rh 2.78
2 Cd 0.5000 0.5000 0.5000  4 Ag 2.78, 4 Rh 2.78
3 Ag 0.7500 0.7500 0.7500  4 Zn 2.78, 4 Cd 2.78
4 Rh 0.2500 0.2500 0.2500  4 Cd 2.78, 4 Zn 2.78

* space group: No. 216
* formation energy from the elements: -0.096 eV per atom

(16)
Computed, not measured: an optimized crystal structure of K2SiGeAu at the PBE-GGA level of DFT.

a = 6.2592 Å, b = 6.2592 Å, c = 4.6116 Å
α = 90.00°, β = 90.00°, γ = 90.00°
Closest atoms and distances in Å follow each position.
Element x y z (fractional)
1 K 0.0000 0.5000 0.0000  2 Au 3.13
2 K 0.5000 0.0000 0.0000  2 Au 3.13
3 Si 0.0000 0.0000 0.5000  2 Au 2.31
4 Ge 0.5000 0.5000 0.5000  8 K 3.89
5 Au 0.0000 0.0000 0.0000  2 Si 2.31

* formation energy (no corrections): 30 kJ/mol of atoms
* space group: No. 123

(17)
Computed, not measured: an optimized crystal structure of EuGaCu at the PBE-GGA level of DFT.

a = 4.4031 Å, b = 4.4031 Å, c = 3.9374 Å
α = 90.00°, β = 90.00°, γ = 120.00°
Closest atoms and distances in Å follow each position.
Element x y z (fractional)
1 Eu 0.0000 0.0000 0.0000  6 Cu 3.22, 6 Ga 3.22
2 Ga 0.3333 0.6667 0.5000  3 Cu 2.54
3 Cu 0.6667 0.3333 0.5000  3 Ga 2.54

* space group: No. 187
* formation energy from the elements: -0.360 eV per atom

(18)
Computed, not measured: an optimized crystal structure of TaMoSe6 at the PBE-GGA level of DFT.

a = 6.1594 Å, b = 6.4437 Å, c = 6.4463 Å
α = 68.02°, β = 62.07°, γ = 62.05°
Closest atoms and distances in Å follow each position.
Element x y z (fractional)
1 Ta 0.0000 0.0000 0.0000  6 Se 2.50-2.58
2 Mo 0.5000 0.5000 0.5000  6 Se 2.51-2.52
3 Se 0.0556 0.7500 0.7493  1 Ta 2.50, 1 Mo 2.52
4 Se 0.3556 0.6409 0.1502  1 Mo 2.51, 1 Se 2.57, 1 Ta 2.58
5 Se 0.3579 0.1483 0.6430  1 Mo 2.51, 1 Se 2.57, 1 Ta 2.58
6 Se 0.6421 0.8517 0.3570  1 Mo 2.51, 1 Se 2.57, 1 Ta 2.58
7 Se 0.6444 0.3591 0.8498  1 Mo 2.51, 1 Se 2.57, 1 Ta 2.58
8 Se 0.9444 0.2500 0.2507  1 Ta 2.50, 1 Mo 2.52

* formation energy (no corrections): -26 kJ/mol of atoms
* space group: No. 2

(19)
Computed, not measured: an optimized crystal structure of B2CS at the PBE-GGA level of DFT.

a = 3.9472 Å, b = 4.1284 Å, c = 4.3413 Å
α = 65.07°, β = 85.38°, γ = 89.30°
Closest atoms and distances in Å follow each position.
Element x y z (fractional)
1 B 0.0000 0.0000 0.0000  1 C 1.46
2 B 0.3444 0.2511 0.9778  1 C 1.52, 1 B 1.69
3 C 0.6308 0.9974 0.9943  2 B 1.46-1.52
4 S 0.3292 0.6334 0.0835  1 C 1.82, 2 B 1.82-1.92

* formation energy (no corrections): 44 kJ/mol of atoms
* space group: No. 1

(20)
Computed, not measured: an optimized crystal structure of Li3As2Pd2 at the PBE-GGA level of DFT.

a = 4.3270 Å, b = 4.3270 Å, c = 6.9937 Å
α = 107.73°, β = 107.73°, γ = 59.88°
Closest atoms and distances in Å follow each position.
Element x y z (fractional)
1 Li 0.0000 0.0000 0.0000  2 Li 2.66, 6 Pd 2.76-2.78, 6 As 2.93-2.95
2 Li 0.1353 0.1353 0.4056  4 Li 2.66-2.79, 4 Pd 2.69-2.89, 3 As 2.73
3 Li 0.8647 0.8647 0.5944  4 Li 2.66-2.79, 4 Pd 2.69-2.89, 3 As 2.73
4 As 0.4131 0.4131 0.2364  4 Pd 2.52-2.75, 3 Li 2.73
5 As 0.5869 0.5869 0.7636  4 Pd 2.52-2.75, 3 Li 2.73
6 Pd 0.2711 0.2711 0.8170  4 As 2.52-2.75, 4 Li 2.69-2.78
7 Pd 0.7289 0.7289 0.1830  4 As 2.52-2.75, 4 Li 2.69-2.78

* space group: No. 12
* formation energy from the elements: -0.617 eV per atom